KRb4Au4 after structural relaxation, computed with PBE-GGA.

space group = No. 86
density of states at the Fermi level = 3.54 states/eV/f.u.
total magnetic moment = 0.00 μB/f.u.
total DFT energy (no corrections) = -2.25 eV/atom
DFT formation energy = -0.237 eV per atom

```
KRb4Au4
1.0
-2.739 -2.661 8.605
5.622 -7.094 -0.404
6.598 5.021 3.653
Rb Au K
8 8 2
direct
0.117 0.225 0.573
0.883 0.573 0.775
0.117 0.775 0.427
0.883 0.427 0.225
0.383 0.275 0.927
0.383 0.725 0.073
0.617 0.073 0.275
0.617 0.927 0.725
0.249 0.090 0.239
0.751 0.761 0.090
0.251 0.590 0.739
0.749 0.261 0.590
0.249 0.910 0.761
0.251 0.410 0.261
0.751 0.239 0.910
0.749 0.739 0.410
0.000 0.000 0.000
0.500 0.500 0.500
```

=====

K6RbAu after structural relaxation, computed with PBE-GGA.

space group = No. 38
density of states at the Fermi level = 5.94 states/eV/f.u.
total magnetic moment = 0.00 μB/f.u.
polymorph energy (0 for the lowest one) = 0.016 eV/atom
total DFT energy (no corrections) = -1.40 eV/atom
DFT formation energy = -0.044 eV per atom

```
K6RbAu
1.0
-1.063 0.469 -4.820
6.157 -7.764 -2.113
-8.430 -5.460 1.327
K Au Rb
6 1 1
direct
0.500 0.968 0.709
0.500 0.291 0.032
0.000 0.672 0.866
0.000 0.134 0.328
0.500 0.879 0.121
0.000 0.638 0.362
0.000 0.030 0.970
0.500 0.387 0.613
```

=====

K12Rb2Au7 after structural relaxation, computed with PBE-GGA.

space group = No. 174
density of states at the Fermi level = 17.04 states/eV/f.u.
total magnetic moment = 0.00 μB/f.u.
total DFT energy (no corrections) = -2.00 eV/atom
DFT formation energy = -0.188 eV per atom

```
K12Rb2Au7
1.0
5.256 0.000 0.000
0.000 12.004 -6.931
0.000 0.000 13.861
K Au Rb
12 7 2
direct
0.000 0.960 0.223
0.000 0.056 0.540
0.000 0.263 0.040
0.000 0.777 0.737
0.500 0.557 0.769
0.500 0.393 0.282
0.500 0.718 0.111
0.500 0.889 0.607
0.000 0.484 0.944
0.000 0.460 0.516
0.500 0.231 0.788
0.500 0.212 0.443
0.000 0.734 0.955
0.000 0.333 0.667
0.500 0.624 0.555
0.000 0.221 0.266
0.500 0.931 0.376
0.000 0.045 0.779
0.500 0.445 0.069
0.500 0.000 0.000
0.000 0.667 0.333
```

=====

K12RbAu5 after structural relaxation, computed with PBE-GGA.

space group = No. 71
density of states at the Fermi level = 8.43 states/eV/f.u.
total magnetic moment = 0.00 μB/f.u.
total DFT energy (no corrections) = -1.86 eV/atom
DFT formation energy = -0.169 eV per atom

```
K12RbAu5
1.0
9.581 -0.203 -4.020
-4.945 8.730 -2.706
-0.347 0.203 10.384
Rb K Au
1 12 5
direct
0.000 0.500 0.500
0.194 0.396 0.201
0.677 0.681 0.357
0.806 0.007 0.201
0.114 0.832 0.282
0.449 0.168 0.282
0.886 0.168 0.718
0.677 0.319 0.996
0.194 0.993 0.799
0.806 0.604 0.799
0.323 0.319 0.643
0.323 0.681 0.004
0.551 0.832 0.718
0.000 0.000 0.000
0.500 0.111 0.611
0.626 0.626 0.000
0.374 0.374 0.000
0.500 0.889 0.389
```

=====

K7Rb3Au2 after structural relaxation, computed with PBE-GGA.

space group = No. 65
density of states at the Fermi level = 7.87 states/eV/f.u.
total magnetic moment = 0.00 μB/f.u.
total DFT energy (no corrections) = -1.53 eV/atom
DFT formation energy = -0.101 eV per atom

```
K7Rb3Au2
1.0
-0.444 6.612 -1.021
-4.878 -1.020 -4.487
-9.060 1.628 14.491
K Rb Au
7 3 2
direct
0.000 0.197 0.394
0.000 0.000 0.000
0.000 0.599 0.197
0.500 0.901 0.802
0.000 0.803 0.606
0.500 0.099 0.198
0.000 0.401 0.803
0.500 0.303 0.606
0.500 0.500 0.000
0.500 0.697 0.394
0.000 0.901 0.802
0.000 0.099 0.198
```

=====

K3Rb4Au4 after structural relaxation, computed with PBE-GGA.

space group = No. 71
density of states at the Fermi level = 6.31 states/eV/f.u.
total magnetic moment = 0.00 μB/f.u.
total DFT energy (no corrections) = -2.02 eV/atom
DFT formation energy = -0.182 eV per atom

```
K3Rb4Au4
1.0
5.457 0.000 -1.196
-0.671 8.272 -3.063
-0.431 -0.663 11.079
Au Rb K
4 4 3
direct
0.500 0.840 0.000
0.500 0.160 0.000
0.806 0.306 0.613
0.194 0.694 0.387
0.668 0.894 0.337
0.332 0.558 0.663
0.332 0.106 0.663
0.668 0.442 0.337
0.913 0.913 0.825
0.087 0.087 0.175
0.000 0.500 0.000
```

=====

K5Rb5Au2 after structural relaxation, computed with PBE-GGA.

space group = No. 12
density of states at the Fermi level = 8.18 states/eV/f.u.
total magnetic moment = 0.00 μB/f.u.
total DFT energy (no corrections) = -1.50 eV/atom
DFT formation energy = -0.097 eV per atom

```
K5Rb5Au2
1.0
5.012 0.000 0.000
-2.506 7.877 -1.420
0.000 -0.678 20.549
Rb K Au
5 5 2
direct
0.500 0.000 0.500
0.699 0.398 0.897
0.197 0.395 0.391
0.803 0.605 0.609
0.301 0.602 0.103
0.898 0.796 0.297
0.000 0.000 0.000
0.589 0.179 0.193
0.102 0.204 0.703
0.411 0.821 0.807
0.047 0.095 0.849
0.953 0.905 0.151
```

=====

K2Rb2Au3 after structural relaxation, computed with PBE-GGA.

space group = No. 65
density of states at the Fermi level = 1.74 states/eV/f.u.
total magnetic moment = 0.00 μB/f.u.
total DFT energy (no corrections) = -2.25 eV/atom
DFT formation energy = -0.252 eV per atom

```
K2Rb2Au3
1.0
4.107 0.000 0.545
0.000 4.116 0.000
-0.107 0.000 16.553
Au Rb K
3 2 2
direct
0.868 0.000 0.265
0.132 0.000 0.735
0.000 0.000 0.000
0.563 0.500 0.874
0.437 0.500 0.126
0.315 0.500 0.369
0.685 0.500 0.631
```